Entry 1:
{
  "formula": "LiSbPb",
  "functional": "PBE",
  "state": "relaxed",
  "e_form_raw_mev_per_atom": -298,
  "dos_at_fermi_per_ev_fu": 0.22,
  "final_energy_ev_per_atom": -3.547,
  "space_group": "No. 11",
  "polymorph_energy_ev_per_atom": 0.007,
  "lattice": [[7.6837, 0.0000, 0.0000], [0.0000, 4.7130, 0.0000], [-0.4647, 0.0000, 13.1444]],
  "species": ["Li", "Li", "Li", "Li", "Li", "Li", "Sb", "Sb", "Sb", "Sb", "Sb", "Sb", "Pb", "Pb", "Pb", "Pb", "Pb", "Pb"],
  "fractional_positions": [[0.0015, 0.2500, 0.4152], [0.1381, 0.2500, 0.0451], [0.3493, 0.7500, 0.7112], [0.6507, 0.2500, 0.2888], [0.8619, 0.7500, 0.9549], [0.9985, 0.7500, 0.5848], [0.2237, 0.2500, 0.5995], [0.2378, 0.7500, 0.9285], [0.2699, 0.2500, 0.2587], [0.7301, 0.7500, 0.7413], [0.7622, 0.2500, 0.0715], [0.7763, 0.7500, 0.4005], [0.0189, 0.2500, 0.7986], [0.3594, 0.7500, 0.4168], [0.4837, 0.7500, 0.1258], [0.5163, 0.2500, 0.8742], [0.6406, 0.2500, 0.5832], [0.9811, 0.7500, 0.2014]]
}



Entry 2:
{
  "formula": "LiSbPb3",
  "functional": "PBE",
  "state": "relaxed",
  "e_form_raw_mev_per_atom": 155,
  "dos_at_fermi_per_ev_fu": 2.80,
  "final_energy_ev_per_atom": -3.277,
  "space_group": "No. 221",
  "polymorph_energy_ev_per_atom": 0.000,
  "lattice": [[5.2292, 0.0000, 0.0000], [0.0000, 5.2292, 0.0000], [0.0000, 0.0000, 5.2292]],
  "species": ["Li", "Sb", "Pb", "Pb", "Pb"],
  "fractional_positions": [[0.0000, 0.0000, 0.0000], [0.5000, 0.5000, 0.5000], [0.0000, 0.0000, 0.5000], [0.0000, 0.5000, 0.0000], [0.5000, 0.0000, 0.0000]]
}



Entry 3:
{
  "formula": "LiSb2Pb",
  "functional": "PBE",
  "state": "relaxed",
  "e_form_raw_mev_per_atom": -105,
  "dos_at_fermi_per_ev_fu": 1.51,
  "final_energy_ev_per_atom": -3.571,
  "space_group": "No. 65",
  "lattice": [[3.3555, -4.7696, 0.0000], [3.3555, 4.7696, 0.0000], [0.0000, 0.0000, 3.3757]],
  "species": ["Li", "Sb", "Sb", "Pb"],
  "fractional_positions": [[0.0000, 0.0000, 0.0000], [0.0000, 0.5000, 0.5000], [0.5000, 0.0000, 0.5000], [0.5000, 0.5000, 0.0000]]
}



Entry 4:
{
  "formula": "Li6Sb5Pb",
  "functional": "PBE",
  "state": "relaxed",
  "e_form_raw_mev_per_atom": -396,
  "dos_at_fermi_per_ev_fu": 2.38,
  "final_energy_ev_per_atom": -3.380,
  "space_group": "No. 10",
  "lattice": [[5.2432, 0.0000, 0.0000], [0.0000, 6.5081, 0.0000], [-0.4469, 0.0000, 7.7330]],
  "species": ["Li", "Li", "Li", "Li", "Li", "Li", "Sb", "Sb", "Sb", "Sb", "Sb", "Pb"],
  "fractional_positions": [[0.0000, 0.2357, 0.0000], [0.0000, 0.7643, 0.0000], [0.3320, 0.2444, 0.6569], [0.3320, 0.7556, 0.6569], [0.6680, 0.2444, 0.3431], [0.6680, 0.7556, 0.3431], [0.1584, 0.5000, 0.3248], [0.1670, 0.0000, 0.3301], [0.5000, 0.0000, 0.0000], [0.8330, 0.0000, 0.6699], [0.8416, 0.5000, 0.6752], [0.5000, 0.5000, 0.0000]]
}



Entry 5:
{
  "formula": "LiSbPb",
  "functional": "PBE",
  "state": "relaxed",
  "e_form_raw_mev_per_atom": -240,
  "final_energy_ev_per_atom": -3.488,
  "space_group": "No. 216",
  "polymorph_energy_ev_per_atom": 0.066,
  "lattice": [[0.0000, 3.3951, 3.3951], [3.3951, 0.0000, 3.3951], [3.3951, 3.3951, 0.0000]],
  "species": ["Li", "Sb", "Pb"],
  "fractional_positions": [[0.0000, 0.0000, 0.0000], [0.2500, 0.2500, 0.2500], [0.7500, 0.7500, 0.7500]]
}



Entry 6:
{
  "formula": "LiSb2Pb",
  "functional": "PBE",
  "state": "relaxed",
  "e_form_raw_mev_per_atom": -50,
  "dos_at_fermi_per_ev_fu": 1.56,
  "final_energy_ev_per_atom": -3.517,
  "space_group": "No. 122",
  "lattice": [[-2.6194, 2.6194, 9.2320], [2.6194, -2.6194, 9.2320], [2.6194, 2.6194, -9.2320]],
  "species": ["Li", "Li", "Sb", "Sb", "Sb", "Sb", "Pb", "Pb"],
  "fractional_positions": [[0.0000, 0.0000, 0.0000], [0.7500, 0.2500, 0.5000], [0.0207, 0.6250, 0.8957], [0.3750, 0.2707, 0.3957], [0.7293, 0.1250, 0.1043], [0.8750, 0.9793, 0.6043], [0.2500, 0.7500, 0.5000], [0.5000, 0.5000, 0.0000]]
}